(1)
First-principles (PBE) data for a relaxed structure of Ca3Sn8Pd3, as listed in Alexandria.

E_form = -0.501 eV/atom
energy = -4.33 eV/atom
crystal system = monoclinic
density of states at the Fermi level = 0.506 states/eV/atom

Cell lengths 5.0833, 8.7847, 8.7509 Å; angles 69.55, 73.12, 73.18 degrees
Closest atoms and distances in Å follow each position.
Positions (direct):
Ca1 0.7146 0.3014 0.2693  10 Sn 3.28-3.61, 3 Pd 3.32-3.45
Sn1 0.1422 0.1461 0.5694  1 Pd 2.86, 5 Sn 3.01-3.19
Ca2 0.2854 0.6986 0.7307  10 Sn 3.28-3.61, 3 Pd 3.32-3.45
Pd1 0.3496 0.3146 0.9863  5 Sn 2.67-2.81
Ca3 0.0000 0.0000 0.0000  8 Sn 3.40-3.46, 4 Pd 3.65
Pd2 0.0000 0.5000 0.5000  8 Sn 2.86-3.01
Sn2 0.3506 0.0466 0.2522  1 Pd 2.67
Sn3 0.4953 0.6654 0.3440  3 Pd 2.72-3.01
Sn4 0.1453 0.5698 0.1395  4 Pd 2.80-2.90
Pd3 0.6504 0.6854 0.0137  5 Sn 2.67-2.81
Sn5 0.6494 0.9534 0.7478  1 Pd 2.67
Sn6 0.5047 0.3346 0.6560  3 Pd 2.72-3.01
Sn7 0.8547 0.4302 0.8605  4 Pd 2.80-2.90
Sn8 0.8578 0.8539 0.4306  1 Pd 2.86, 5 Sn 3.01-3.19

(2)
First-principles (PBE) data for a relaxed structure of CaSn8Pd2, as listed in Alexandria.

E_form = -0.212 eV/atom
energy = -4.25 eV/atom
crystal system = monoclinic
density of states at the Fermi level = 0.494 states/eV/atom

Cell lengths 4.9371, 8.4285, 8.4285 Å; angles 61.86, 78.70, 78.70 degrees
Closest atoms and distances in Å follow each position.
Positions (direct):
Sn1 0.9824 0.1420 0.5732  2 Pd 2.77-2.86, 1 Sn 3.09
Sn2 0.0176 0.4268 0.8580  2 Pd 2.77-2.86, 1 Sn 3.09
Sn3 0.4338 0.4031 0.4031  1 Pd 2.74, 1 Sn 3.02
Pd1 0.8342 0.2367 0.2367  7 Sn 2.68-2.86
Sn4 0.5973 0.8469 0.8469  2 Pd 2.68-2.79
Sn5 0.4027 0.1531 0.1531  2 Pd 2.68-2.79
Ca1 0.0000 0.0000 0.0000  8 Sn 3.22-3.30, 2 Pd 3.33
Sn6 0.0176 0.8580 0.4268  2 Pd 2.77-2.86, 1 Sn 3.09
Pd2 0.1658 0.7633 0.7633  7 Sn 2.68-2.86
Sn7 0.9824 0.5732 0.1420  2 Pd 2.77-2.86, 1 Sn 3.09
Sn8 0.5662 0.5969 0.5969  1 Pd 2.74, 1 Sn 3.02

(3)
First-principles (PBE) data for a relaxed structure of Ca3SnPd4, as listed in Alexandria.

E_form = -0.561 eV/atom
energy = -4.41 eV/atom
crystal system = orthorhombic
density of states at the Fermi level = 0.377 states/eV/atom

Cell lengths 3.9603, 6.4310, 8.4798 Å; angles 112.28, 103.50, 90.00 degrees
Closest atoms and distances in Å follow each position.
Positions (direct):
Sn1 0.5000 0.0000 0.0000  4 Pd 2.63
Pd1 0.6218 0.4135 0.2436  1 Sn 2.63, 1 Pd 2.68
Ca1 0.1960 0.1960 0.3920  6 Pd 2.95-3.07
Ca2 0.8040 0.8040 0.6080  6 Pd 2.95-3.07
Pd2 0.3782 0.1699 0.7564  1 Sn 2.63, 1 Pd 2.68
Ca3 0.0000 0.5000 0.0000  8 Pd 3.02
Pd3 0.6218 0.8301 0.2436  1 Sn 2.63, 1 Pd 2.68
Pd4 0.3782 0.5865 0.7564  1 Sn 2.63, 1 Pd 2.68

What did the third record say?
First-principles (PBE) data for a relaxed structure of Ca3SnPd4, as listed in Alexandria.

E_form = -0.561 eV/atom
energy = -4.41 eV/atom
crystal system = orthorhombic
density of states at the Fermi level = 0.377 states/eV/atom

Cell lengths 3.9603, 6.4310, 8.4798 Å; angles 112.28, 103.50, 90.00 degrees
Closest atoms and distances in Å follow each position.
Positions (direct):
Sn1 0.5000 0.0000 0.0000  4 Pd 2.63
Pd1 0.6218 0.4135 0.2436  1 Sn 2.63, 1 Pd 2.68
Ca1 0.1960 0.1960 0.3920  6 Pd 2.95-3.07
Ca2 0.8040 0.8040 0.6080  6 Pd 2.95-3.07
Pd2 0.3782 0.1699 0.7564  1 Sn 2.63, 1 Pd 2.68
Ca3 0.0000 0.5000 0.0000  8 Pd 3.02
Pd3 0.6218 0.8301 0.2436  1 Sn 2.63, 1 Pd 2.68
Pd4 0.3782 0.5865 0.7564  1 Sn 2.63, 1 Pd 2.68

Number 1 is which compound?
Ca3Sn8Pd3